Model 1:
# LiScMn

LiScMn at its PBEsol-relaxed geometry (SCAN, the Alexandria database).

abc: 6.023 6.023 6.023
angles: 150.76 150.76 41.82
Atoms (fractional coordinates):
Li1 0.000 0.000 0.000
Sc1 0.294 0.294 0.000
Mn1 0.646 0.646 0.000

space-group type: I4mm, No. 107

---

Model 2:
# LiScMn

LiScMn at its PBEsol-relaxed geometry (SCAN, the Alexandria database).

abc: 4.402 4.402 4.402
angles: 60.00 60.00 60.00
Atoms (fractional coordinates):
Li1 0.000 0.000 0.000
Sc1 0.500 0.500 0.500
Mn1 0.750 0.750 0.750

space-group type: F-43m, No. 216

---

Most favorable structure: model 1. The second most favorable one is 500 meV/atom above it.

---

Model 1:
# Li2TaMn

Li2TaMn at its PBEsol-relaxed geometry (SCAN, the Alexandria database).

abc: 2.649 2.649 9.757
angles: 90.00 90.00 112.73
Atoms (fractional coordinates):
Li1 0.000 0.000 0.238
Li2 0.000 0.000 0.762
Ta1 0.500 0.500 0.500
Mn1 0.500 0.500 0.000

space-group type: Cmmm, No. 65

---

Model 2:
# Li2TaMn

Li2TaMn at its PBEsol-relaxed geometry (SCAN, the Alexandria database).

abc: 2.493 2.493 9.211
angles: 90.00 90.00 90.00
Atoms (fractional coordinates):
Li1 0.000 0.000 0.228
Li2 0.000 0.000 0.772
Ta1 0.500 0.500 0.500
Mn1 0.500 0.500 0.000

space-group type: P4/mmm, No. 123

---

Most favorable structure: model 1. The second most favorable one is 407 meV/atom above it.

---

Model 1:
# Li2TaMn

Li2TaMn at its PBEsol-relaxed geometry (SCAN, the Alexandria database).

abc: 3.426 3.426 4.746
angles: 90.00 90.00 90.00
Atoms (fractional coordinates):
Li1 0.000 0.500 0.000
Li2 0.500 0.000 0.000
Ta1 0.000 0.000 0.500
Mn1 0.500 0.500 0.500

space-group type: P4/mmm, No. 123

---

Model 2:
# Li2TaMn

Li2TaMn at its PBEsol-relaxed geometry (SCAN, the Alexandria database).

abc: 4.836 4.836 4.836
angles: 143.66 121.95 70.45
Atoms (fractional coordinates):
Li1 0.000 0.000 0.000
Li2 0.766 0.266 0.500
Ta1 0.481 0.481 0.000
Mn1 0.250 0.750 0.500

space-group type: Imm2, No. 44

---

Most favorable structure: model 1. The second most favorable one is 83 meV/atom above it.